# 1
Here is a geometry-optimized RbYMgS3 structure from Alexandria. Energies are from PBE.

Total moment ... 0.00 Bohr magnetons per cell
Volume ... 29.1 Å³/atom
E ... -5.242 eV/atom

abc: 9.0093 4.1269 9.9069
angles: 90.00 108.61 90.00
Last column: nearest neighbours and their distance in Å.
Space group P2_1/m (No. 11)
Symmetry-distinct sites (fractional):
Rb 0.2095 0.2500 0.2268 [2 per cell]  5 S 3.38-3.52
Y 0.3341 0.7500 0.8659 [2 per cell]  6 S 2.69-3.01
Mg 0.0850 0.2500 0.6106 [2 per cell]  4 S 2.39-2.50
S 0.1244 0.2500 0.8613 [2 per cell]  1 Mg 2.39
S 0.1941 0.7500 0.5469 [2 per cell]  3 Mg 2.45-2.50
S 0.4689 0.7500 0.1501 [2 per cell]  3 Y 2.69-2.76


# 2
Here is a geometry-optimized Rb3Y2MgS6 structure from Alexandria. Energies are from PBE.

Total moment ... 0.00 Bohr magnetons per cell
Volume ... 27.0 Å³/atom
E ... -5.038 eV/atom

abc: 6.9715 12.0810 8.0349
angles: 90.00 106.84 90.00
Last column: nearest neighbours and their distance in Å.
Space group C2/m (No. 12)
Symmetry-distinct sites (fractional):
Rb 0.0000 0.0000 0.0000 [2 per cell]  6 S 3.32-3.36
Rb 0.0000 0.3332 0.0000 [4 per cell]  6 S 3.32-3.36
Y 0.0000 0.1666 0.5000 [4 per cell]  6 S 2.76
Mg 0.0000 0.5000 0.5000 [2 per cell]  6 S 2.71
S 0.2271 0.3362 0.6899 [8 per cell]  1 Mg 2.71, 2 Y 2.76
S 0.2357 0.0000 0.6901 [4 per cell]  1 Mg 2.71, 2 Y 2.76


# 3
Here is a geometry-optimized RbMgZnS2 structure from Alexandria. Energies are from PBE.

Total moment ... 0.00 Bohr magnetons per cell
Volume ... 28.3 Å³/atom
E ... -3.227 eV/atom

abc: 7.6955 6.6687 5.9754
angles: 90.00 112.79 90.00
Last column: nearest neighbours and their distance in Å.
Space group P2/c (No. 13)
Symmetry-distinct sites (fractional):
Rb 0.0000 0.2325 0.2500 [2 per cell]  6 S 3.55-3.66, 2 Zn 3.97
Mg 0.5000 0.0004 0.2500 [2 per cell]  4 S 2.47
Zn 0.5000 0.5000 0.0000 [2 per cell]  2 S 2.49
S 0.2947 0.1973 0.8973 [4 per cell]  2 Mg 2.47, 1 Zn 2.49


# 4
Here is a geometry-optimized Rb2MgZn2S4 structure from Alexandria. Energies are from PBE.

Total moment ... 0.00 Bohr magnetons per cell
Volume ... 24.2 Å³/atom
E ... -3.583 eV/atom

abc: 15.3643 3.8834 7.6531
angles: 90.00 107.69 90.00
Last column: nearest neighbours and their distance in Å.
Space group C2/m (No. 12)
Symmetry-distinct sites (fractional):
Rb 0.1251 0.0000 0.0380 [4 per cell]  7 S 3.42-3.44, 1 Rb 3.71, 2 Zn 3.79
Mg 0.0000 0.0000 0.5000 [2 per cell]  4 S 2.61
Zn 0.1705 0.5000 0.4823 [4 per cell]  4 S 2.30-2.49
S 0.0226 0.5000 0.2897 [4 per cell]  1 Zn 2.30
S 0.2081 0.0000 0.6715 [4 per cell]  3 Zn 2.39-2.49


# 5
Here is a geometry-optimized RbMgSb2 structure from Alexandria. Energies are from PBE.

Total moment ... 0.00 Bohr magnetons per cell
Volume ... 37.4 Å³/atom
E ... -2.859 eV/atom

abc: 5.1047 5.1047 19.8942
angles: 90.00 90.00 120.00
Last column: nearest neighbours and their distance in Å.
Space group R-3m (No. 166, hexagonal axes)
Symmetry-distinct sites (fractional):
Rb 0.0000 0.0000 0.0000 [3 per cell]  8 Sb 3.96-3.98, 6 Mg 4.44
Mg 0.0000 0.0000 0.5000 [3 per cell]  6 Sb 3.02
Sb 0.0000 0.0000 0.2000 [6 per cell]  3 Mg 3.02, 3 Sb 3.23


# 6
Here is a geometry-optimized Rb5MgSb2 structure from Alexandria. Energies are from PBE.

Total moment ... 0.91 Bohr magnetons per cell
Volume ... 46.9 Å³/atom
E ... -2.120 eV/atom

abc: 6.4976 6.4976 30.8137
angles: 90.00 90.00 120.00
Last column: nearest neighbours and their distance in Å.
Space group R-3m (No. 166, hexagonal axes)
Symmetry-distinct sites (fractional):
Rb 0.0000 0.0000 0.0000 [3 per cell]  8 Rb 3.91-4.10
Rb 0.0000 0.0000 0.1269 [6 per cell]  4 Rb 3.91-4.38, 3 Mg 3.95, 3 Sb 4.07
Rb 0.0000 0.0000 0.2797 [6 per cell]  4 Sb 3.81-4.00, 3 Rb 4.10
Mg 0.0000 0.0000 0.5000 [3 per cell]  2 Sb 2.79
Sb 0.0000 0.0000 0.4094 [6 per cell]  1 Mg 2.79


# 7
Here is a geometry-optimized Rb2MgSb2 structure from Alexandria. Energies are from PBE.

Total moment ... 0.00 Bohr magnetons per cell
Volume ... 38.8 Å³/atom
E ... -2.200 eV/atom

abc: 4.9703 4.9703 15.7236
angles: 90.00 90.00 90.00
Last column: nearest neighbours and their distance in Å.
Space group I4/mmm (No. 139)
Symmetry-distinct sites (fractional):
Rb 0.0000 0.5000 0.2500 [4 per cell]  4 Rb 3.51, 4 Sb 3.57
Mg 0.0000 0.0000 0.0000 [2 per cell]  8 Sb 3.77
Sb 0.0000 0.0000 0.4128 [4 per cell]  1 Sb 2.74


# 8
Here is a geometry-optimized RbMgSb3 structure from Alexandria. Energies are from PBE.

Total moment ... 0.00 Bohr magnetons per cell
Volume ... 43.5 Å³/atom
E ... -1.676 eV/atom

abc: 6.0145 6.0145 6.0145
angles: 90.00 90.00 90.00
Last column: nearest neighbours and their distance in Å.
Space group Pm-3m (No. 221)
Symmetry-distinct sites (fractional):
Rb 0.0000 0.0000 0.0000 [1 per cell]  6 Sb 3.01
Mg 0.5000 0.5000 0.5000 [1 per cell]  12 Sb 4.25
Sb 0.0000 0.0000 0.5000 [3 per cell]  2 Rb 3.01